(1)
The following is a PBE calculation of a relaxed Y4Zn2Cd5 crystal, from Alexandria via LeMat-Bulk.

It has space group P2/m (No. 10), with a = 7.617 Å, b = 3.672 Å, c = 9.657 Å, α = 90.00°, β = 93.59° and γ = 90.00°. The inequivalent atoms are Y at (0.172, 0.000, 0.367), Y at (0.252, 0.000, 0.937), Zn at (0.060, 0.500, 0.129), Cd at (0.182, 0.500, 0.655), Cd at (0.439, 0.500, 0.189) and Cd at (0.500, 0.500, 0.500).

The value obtained for the calculated volume is 269.60 Å³/cell. The calculation puts the formation energy from the elements at -298 meV/atom.

---

(2)
The following is a PBE calculation of a relaxed Pr6NdYEr2 crystal, from Alexandria via LeMat-Bulk.

It has space group C2/c (No. 15), with a = 9.378 Å, b = 15.392 Å, c = 9.765 Å, α = 90.00°, β = 97.45° and γ = 90.00°. The inequivalent atoms are Pr at (0.064, 0.176, 0.445), Pr at (0.096, 0.391, 0.618), Pr at (0.215, 0.224, 0.815), Nd at (0.000, 0.030, 0.750), Y at (0.000, 0.410, 0.250) and Er at (0.249, 0.048, 0.048).

The value obtained for the calculated volume is 1397.64 Å³/cell. The calculation puts the formation energy from the elements at 110 meV/atom.

---

(3)
The following is a PBE calculation of a relaxed Y5Er4Sc2 crystal, from Alexandria via LeMat-Bulk.

It has space group C2/m (No. 12), with a = 23.394 Å, b = 3.475 Å, c = 8.412 Å, α = 90.00°, β = 95.18° and γ = 90.00°. The inequivalent atoms are Y at (0.000, 0.000, 0.000), Y at (0.130, 0.500, 0.041), Y at (0.182, 0.500, 0.475), Er at (0.038, 0.500, 0.348), Er at (0.224, 0.000, 0.827) and Sc at (0.088, 0.000, 0.693).

The value obtained for the calculated volume is 681.03 Å³/cell. The calculation puts the formation energy from the elements at 111 meV/atom. The energy above the most stable polymorph in this dataset comes out at 66 meV per atom.

---

(4)
The following is a PBE calculation of a relaxed NaSrCd5 crystal, from Alexandria via LeMat-Bulk.

It has space group Cmmm (No. 65), with a = 6.243 Å, b = 9.716 Å, c = 6.687 Å, α = 90.00°, β = 90.00° and γ = 90.00°. The inequivalent atoms are Na at (0.000, 0.000, 0.000), Sr at (0.000, 0.500, 0.500), Cd at (0.000, 0.500, 0.000) and Cd at (0.250, 0.250, 0.237).

The value obtained for the calculated volume is 405.55 Å³/cell. The calculation puts the formation energy from the elements at -89 meV/atom.

---

(5)
The following is a PBE calculation of a relaxed CaZr2W crystal, from Alexandria via LeMat-Bulk.

It has space group P4mm (No. 99), with a = 3.641 Å, b = 3.641 Å, c = 7.369 Å, α = 90.00°, β = 90.00° and γ = 90.00°. The inequivalent atoms are Ca at (0.000, 0.000, 0.000), Zr at (0.000, 0.000, 0.443), Zr at (0.500, 0.500, 0.661) and W at (0.500, 0.500, 0.284).

The value obtained for the calculated volume is 97.69 Å³/cell. The calculation puts the formation energy from the elements at 434 meV/atom. The energy above the most stable polymorph in this dataset comes out at 220 meV per atom.

---

(6)
The following is a PBE calculation of a relaxed K2ZnGeO4 crystal, from Alexandria via LeMat-Bulk.

It has space group Fddd (No. 70, origin choice 2), with a = 5.205 Å, b = 11.891 Å, c = 19.661 Å, α = 90.00°, β = 90.00° and γ = 90.00°. The inequivalent atoms are K at (0.125, 0.125, 0.303), Zn at (0.125, 0.125, 0.125), Ge at (0.125, 0.125, 0.625) and O at (0.098, 0.287, 0.829).

The value obtained for the calculated volume is 1216.96 Å³/cell. Its uncorrected formation energy is -1541 meV per atom. The energy above the most stable polymorph in this dataset comes out at 161 meV per atom.